No. 1
# Mg8Ag2Pt (PBE, relaxed)
data_Mg8Ag2Pt
_chemical_formula_sum 'Mg16 Ag4 Pt2'
_symmetry_space_group_name_H-M 'C 1 2/m 1'
_symmetry_Int_Tables_number 12
_symmetry_space_group_name_Hall '-C 2y'
_cell_length_a 15.231
_cell_length_b 4.650
_cell_length_c 6.754
_cell_angle_alpha 90.00
_cell_angle_beta 113.45
_cell_angle_gamma 90.00
loop_
_atom_site_label
_atom_site_fract_x
_atom_site_fract_y
_atom_site_fract_z
Mg1 0.021 0.000 0.281
Mg2 0.105 0.500 0.929
Mg3 0.162 0.500 0.425
Mg4 0.181 0.000 0.745
Ag1 0.182 0.000 0.169
Pt1 0.000 0.500 0.500
# total magnetization = 0.000 μB/f.u.
# calculated formation energy = -27.3 kJ per mole of atoms



No. 2
# Mg6Ag3Pt (PBE, relaxed)
data_Mg6Ag3Pt
_chemical_formula_sum 'Mg12 Ag6 Pt2'
_symmetry_space_group_name_H-M 'P 1 21/m 1'
_symmetry_Int_Tables_number 11
_symmetry_space_group_name_Hall '-P 2yb'
_cell_length_a 8.303
_cell_length_b 4.624
_cell_length_c 9.982
_cell_angle_alpha 90.00
_cell_angle_beta 104.95
_cell_angle_gamma 90.00
loop_
_atom_site_label
_atom_site_fract_x
_atom_site_fract_y
_atom_site_fract_z
Mg1 0.039 0.250 0.402
Mg2 0.137 0.750 0.187
Mg3 0.276 0.250 0.992
Mg4 0.350 0.250 0.292
Mg5 0.361 0.750 0.823
Mg6 0.436 0.250 0.603
Ag1 0.050 0.750 0.896
Ag2 0.150 0.250 0.702
Ag3 0.256 0.750 0.492
Pt1 0.436 0.750 0.122
# total magnetization = 0.000 μB/f.u.
# calculated formation energy = -32.7 kJ per mole of atoms



No. 3
# Mg2AgPt (PBE, relaxed)
data_Mg2AgPt
_chemical_formula_sum 'Mg6 Ag3 Pt3'
_symmetry_space_group_name_H-M 'R -3 m'
_symmetry_Int_Tables_number 166
_symmetry_space_group_name_Hall '-R 3 2"'
_cell_length_a 3.0190
_cell_length_b 3.0190
_cell_length_c 26.8259
_cell_angle_alpha 90.00
_cell_angle_beta 90.00
_cell_angle_gamma 120.00
loop_
_atom_site_label
_atom_site_fract_x
_atom_site_fract_y
_atom_site_fract_z
Mg1 0.0000 0.0000 0.2453
Ag1 0.0000 0.0000 0.0000
Pt1 0.0000 0.0000 0.5000
# ΔE to the lowest computed polymorph = 211 meV per atom
# total magnetization = 0.000 μB/f.u.
# calculated formation energy = -35.5 kJ per mole of atoms



No. 4
# MgAgPt3 (PBE, relaxed)
data_MgAgPt3
_chemical_formula_sum 'Mg1 Ag1 Pt3'
_symmetry_space_group_name_H-M 'P m -3 m'
_symmetry_Int_Tables_number 221
_symmetry_space_group_name_Hall '-P 4 2 3'
_cell_length_a 4.891
_cell_length_b 4.891
_cell_length_c 4.891
_cell_angle_alpha 90.00
_cell_angle_beta 90.00
_cell_angle_gamma 90.00
loop_
_atom_site_label
_atom_site_fract_x
_atom_site_fract_y
_atom_site_fract_z
Mg1 0.000 0.000 0.000
Ag1 0.500 0.500 0.500
Pt1 0.000 0.500 0.500
# ΔE to the lowest computed polymorph = 272 meV per atom
# total magnetization = 0.000 μB/f.u.
# calculated formation energy = 99.8 kJ per mole of atoms



No. 5
# Mg2AgPt (PBE, relaxed)
data_Mg2AgPt
_chemical_formula_sum 'Mg2 Ag1 Pt1'
_symmetry_space_group_name_H-M 'P m m 2'
_symmetry_Int_Tables_number 25
_symmetry_space_group_name_Hall 'P 2 -2'
_cell_length_a 2.959
_cell_length_b 4.194
_cell_length_c 5.637
_cell_angle_alpha 90.00
_cell_angle_beta 90.00
_cell_angle_gamma 90.00
loop_
_atom_site_label
_atom_site_fract_x
_atom_site_fract_y
_atom_site_fract_z
Mg1 0.000 0.000 0.000
Mg2 0.500 0.500 0.315
Ag1 0.500 0.500 0.795
Pt1 0.000 0.000 0.491
# ΔE to the lowest computed polymorph = 162 meV per atom
# total magnetization = 0.000 μB/f.u.
# calculated formation energy = -40.2 kJ per mole of atoms



No. 6
# RbMg2AgPt (PBE, relaxed)
data_RbMg2AgPt
_chemical_formula_sum 'Rb1 Mg2 Ag1 Pt1'
_symmetry_space_group_name_H-M 'P 4/m m m'
_symmetry_Int_Tables_number 123
_symmetry_space_group_name_Hall '-P 4 2'
_cell_length_a 5.128
_cell_length_b 5.128
_cell_length_c 5.915
_cell_angle_alpha 90.00
_cell_angle_beta 90.00
_cell_angle_gamma 90.00
loop_
_atom_site_label
_atom_site_fract_x
_atom_site_fract_y
_atom_site_fract_z
Rb1 0.000 0.000 0.000
Mg1 0.000 0.500 0.500
Ag1 0.000 0.000 0.500
Pt1 0.500 0.500 0.000
# total magnetization = 0.000 μB/f.u.
# calculated formation energy = 52.7 kJ per mole of atoms



No. 7
# Mg2Sc5AgPt2 (PBE, relaxed)
data_Mg2Sc5AgPt2
_chemical_formula_sum 'Mg4 Sc10 Ag2 Pt4'
_symmetry_space_group_name_H-M 'P 4/m b m'
_symmetry_Int_Tables_number 127
_symmetry_space_group_name_Hall '-P 4 2ab'
_cell_length_a 11.184
_cell_length_b 11.184
_cell_length_c 3.499
_cell_angle_alpha 90.00
_cell_angle_beta 90.00
_cell_angle_gamma 90.00
loop_
_atom_site_label
_atom_site_fract_x
_atom_site_fract_y
_atom_site_fract_z
Mg1 0.173 0.327 0.000
Sc1 0.000 0.500 0.500
Sc2 0.072 0.801 0.500
Ag1 0.000 0.000 0.000
Pt1 0.133 0.633 0.000
# total magnetization = 0.000 μB/f.u.
# calculated formation energy = -58.3 kJ per mole of atoms



No. 8
# Mg2Si2AgPt5 (PBE, relaxed)
data_Mg2Si2AgPt5
_chemical_formula_sum 'Mg4 Si4 Ag2 Pt10'
_symmetry_space_group_name_H-M 'P 4/m b m'
_symmetry_Int_Tables_number 127
_symmetry_space_group_name_Hall '-P 4 2ab'
_cell_length_a 9.419
_cell_length_b 9.419
_cell_length_c 3.634
_cell_angle_alpha 90.00
_cell_angle_beta 90.00
_cell_angle_gamma 90.00
loop_
_atom_site_label
_atom_site_fract_x
_atom_site_fract_y
_atom_site_fract_z
Mg1 0.171 0.329 0.000
Si1 0.130 0.630 0.000
Ag1 0.000 0.000 0.000
Pt1 0.000 0.500 0.500
Pt2 0.074 0.792 0.500
# total magnetization = 0.000 μB/f.u.
# formation energy without anion corrections = -0.61 eV per atom



No. 9
# SmMgAgPt (PBE, relaxed)
data_SmMgAgPt
_chemical_formula_sum 'Sm4 Mg4 Ag4 Pt4'
_symmetry_space_group_name_H-M 'F -4 3 m'
_symmetry_Int_Tables_number 216
_symmetry_space_group_name_Hall 'F -4 2 3'
_cell_length_a 6.945
_cell_length_b 6.945
_cell_length_c 6.945
_cell_angle_alpha 90.00
_cell_angle_beta 90.00
_cell_angle_gamma 90.00
loop_
_atom_site_label
_atom_site_fract_x
_atom_site_fract_y
_atom_site_fract_z
Sm1 0.000 0.000 0.000
Mg1 0.000 0.000 0.500
Ag1 0.250 0.250 0.750
Pt1 0.250 0.250 0.250
# total magnetization = 0.000 μB/f.u.
# calculated formation energy = -60.9 kJ per mole of atoms



No. 10
# MgAgSnPt (PBE, relaxed)
data_MgAgSnPt
_chemical_formula_sum 'Mg4 Ag4 Sn4 Pt4'
_symmetry_space_group_name_H-M 'F -4 3 m'
_symmetry_Int_Tables_number 216
_symmetry_space_group_name_Hall 'F -4 2 3'
_cell_length_a 6.645
_cell_length_b 6.645
_cell_length_c 6.645
_cell_angle_alpha 90.00
_cell_angle_beta 90.00
_cell_angle_gamma 90.00
loop_
_atom_site_label
_atom_site_fract_x
_atom_site_fract_y
_atom_site_fract_z
Mg1 0.000 0.000 0.000
Ag1 0.250 0.250 0.750
Sn1 0.000 0.000 0.500
Pt1 0.250 0.250 0.250
# total magnetization = 0.000 μB/f.u.
# calculated formation energy = -39.1 kJ per mole of atoms



No. 11
# SrMgAgPt (PBE, relaxed)
data_SrMgAgPt
_chemical_formula_sum 'Sr2 Mg2 Ag2 Pt2'
_symmetry_space_group_name_H-M 'C 1 m 1'
_symmetry_Int_Tables_number 8
_symmetry_space_group_name_Hall 'C -2y'
_cell_length_a 8.018
_cell_length_b 4.630
_cell_length_c 5.917
_cell_angle_alpha 90.00
_cell_angle_beta 116.92
_cell_angle_gamma 90.00
loop_
_atom_site_label
_atom_site_fract_x
_atom_site_fract_y
_atom_site_fract_z
Sr1 0.000 0.000 0.000
Mg1 0.485 0.000 0.457
Ag1 0.205 0.000 0.615
Pt1 0.297 0.500 0.391
# total magnetization = 0.000 μB/f.u.
# calculated formation energy = -53.5 kJ per mole of atoms



No. 12
# MgTlAgPt (PBE, relaxed)
data_MgTlAgPt
_chemical_formula_sum 'Mg4 Tl4 Ag4 Pt4'
_symmetry_space_group_name_H-M 'F -4 3 m'
_symmetry_Int_Tables_number 216
_symmetry_space_group_name_Hall 'F -4 2 3'
_cell_length_a 6.695
_cell_length_b 6.695
_cell_length_c 6.695
_cell_angle_alpha 90.00
_cell_angle_beta 90.00
_cell_angle_gamma 90.00
loop_
_atom_site_label
_atom_site_fract_x
_atom_site_fract_y
_atom_site_fract_z
Mg1 0.000 0.000 0.000
Tl1 0.000 0.000 0.500
Ag1 0.250 0.250 0.250
Pt1 0.250 0.250 0.750
# total magnetization = 0.000 μB/f.u.
# calculated formation energy = -21.0 kJ per mole of atoms



No. 13
# YMgAgPt (PBE, relaxed)
data_YMgAgPt
_chemical_formula_sum 'Y4 Mg4 Ag4 Pt4'
_symmetry_space_group_name_H-M 'F -4 3 m'
_symmetry_Int_Tables_number 216
_symmetry_space_group_name_Hall 'F -4 2 3'
_cell_length_a 6.853
_cell_length_b 6.853
_cell_length_c 6.853
_cell_angle_alpha 90.00
_cell_angle_beta 90.00
_cell_angle_gamma 90.00
loop_
_atom_site_label
_atom_site_fract_x
_atom_site_fract_y
_atom_site_fract_z
Y1 0.000 0.000 0.000
Mg1 0.000 0.000 0.500
Ag1 0.250 0.250 0.750
Pt1 0.250 0.250 0.250
# total magnetization = 0.000 μB/f.u.
# calculated formation energy = -65.7 kJ per mole of atoms



No. 14
# PuMgAg (PBE, relaxed)
data_PuMgAg
_chemical_formula_sum 'Pu6 Mg6 Ag6'
_symmetry_space_group_name_H-M 'R -3 m'
_symmetry_Int_Tables_number 166
_symmetry_space_group_name_Hall '-R 3 2"'
_cell_length_a 4.9409
_cell_length_b 4.9409
_cell_length_c 20.7549
_cell_angle_alpha 90.00
_cell_angle_beta 90.00
_cell_angle_gamma 120.00
loop_
_atom_site_label
_atom_site_fract_x
_atom_site_fract_y
_atom_site_fract_z
Pu1 0.0000 0.0000 0.1391
Mg1 0.0000 0.0000 0.2962
Ag1 0.0000 0.0000 0.4271
# total magnetization = 5.779 μB/f.u.
# calculated formation energy = 10.5 kJ per mole of atoms



No. 15
# PuMg5Ag4 (PBE, relaxed)
data_PuMg5Ag4
_chemical_formula_sum 'Pu1 Mg5 Ag4'
_symmetry_space_group_name_H-M 'P 4/m m m'
_symmetry_Int_Tables_number 123
_symmetry_space_group_name_Hall '-P 4 2'
_cell_length_a 3.305
_cell_length_b 3.305
_cell_length_c 18.367
_cell_angle_alpha 90.00
_cell_angle_beta 90.00
_cell_angle_gamma 90.00
loop_
_atom_site_label
_atom_site_fract_x
_atom_site_fract_y
_atom_site_fract_z
Pu1 0.000 0.000 0.000
Mg1 0.500 0.500 0.135
Mg2 0.500 0.500 0.317
Mg3 0.500 0.500 0.500
Ag1 0.000 0.000 0.226
Ag2 0.000 0.000 0.409
# total magnetization = 6.321 μB/f.u.
# calculated formation energy = -15.0 kJ per mole of atoms



No. 16
# PuMgAg2 (PBE, relaxed)
data_PuMgAg2
_chemical_formula_sum 'Pu2 Mg2 Ag4'
_symmetry_space_group_name_H-M 'C 1 m 1'
_symmetry_Int_Tables_number 8
_symmetry_space_group_name_Hall 'C -2y'
_cell_length_a 5.365
_cell_length_b 3.107
_cell_length_c 10.161
_cell_angle_alpha 90.00
_cell_angle_beta 100.00
_cell_angle_gamma 90.00
loop_
_atom_site_label
_atom_site_fract_x
_atom_site_fract_y
_atom_site_fract_z
Pu1 0.000 0.000 0.000
Mg1 0.334 0.500 0.500
Ag1 0.244 0.000 0.729
Ag2 0.424 0.000 0.271
# total magnetization = 5.662 μB/f.u.
# calculated formation energy = 4.8 kJ per mole of atoms



No. 17
# PuMgAg (PBE, relaxed)
data_PuMgAg
_chemical_formula_sum 'Pu2 Mg2 Ag2'
_symmetry_space_group_name_H-M 'I 4 m m'
_symmetry_Int_Tables_number 107
_symmetry_space_group_name_Hall 'I 4 -2'
_cell_length_a 3.125
_cell_length_b 3.125
_cell_length_c 13.664
_cell_angle_alpha 90.00
_cell_angle_beta 90.00
_cell_angle_gamma 90.00
loop_
_atom_site_label
_atom_site_fract_x
_atom_site_fract_y
_atom_site_fract_z
Pu1 0.000 0.000 0.000
Mg1 0.000 0.000 0.308
Ag1 0.000 0.000 0.674
# total magnetization = 6.153 μB/f.u.
# calculated formation energy = -1.1 kJ per mole of atoms



No. 18
# PuMgAg (PBE, relaxed)
data_PuMgAg
_chemical_formula_sum 'Pu1 Mg1 Ag1'
_symmetry_space_group_name_H-M 'P 3 m 1'
_symmetry_Int_Tables_number 156
_symmetry_space_group_name_Hall 'P 3 -2"'
_cell_length_a 5.0770
_cell_length_b 5.0770
_cell_length_c 3.0267
_cell_angle_alpha 90.00
_cell_angle_beta 90.00
_cell_angle_gamma 120.00
loop_
_atom_site_label
_atom_site_fract_x
_atom_site_fract_y
_atom_site_fract_z
Pu1 0.0000 0.0000 0.0000
Mg1 0.6667 0.3333 0.5027
Ag1 0.3333 0.6667 0.4984
# total magnetization = 6.021 μB/f.u.
# calculated formation energy = 0.6 kJ per mole of atoms



No. 19
# PuMgAg2 (PBE, relaxed)
data_PuMgAg2
_chemical_formula_sum 'Pu1 Mg1 Ag2'
_symmetry_space_group_name_H-M 'P 4/m m m'
_symmetry_Int_Tables_number 123
_symmetry_space_group_name_Hall '-P 4 2'
_cell_length_a 5.353
_cell_length_b 5.353
_cell_length_c 3.050
_cell_angle_alpha 90.00
_cell_angle_beta 90.00
_cell_angle_gamma 90.00
loop_
_atom_site_label
_atom_site_fract_x
_atom_site_fract_y
_atom_site_fract_z
Pu1 0.000 0.000 0.000
Mg1 0.500 0.500 0.000
Ag1 0.000 0.500 0.500
# total magnetization = 6.027 μB/f.u.
# calculated formation energy = 0.0 kJ per mole of atoms



No. 20
# PuMgAg2 (PBE, relaxed)
data_PuMgAg2
_chemical_formula_sum 'Pu1 Mg1 Ag2'
_symmetry_space_group_name_H-M 'P 4/m m m'
_symmetry_Int_Tables_number 123
_symmetry_space_group_name_Hall '-P 4 2'
_cell_length_a 3.198
_cell_length_b 3.198
_cell_length_c 8.130
_cell_angle_alpha 90.00
_cell_angle_beta 90.00
_cell_angle_gamma 90.00
loop_
_atom_site_label
_atom_site_fract_x
_atom_site_fract_y
_atom_site_fract_z
Pu1 0.000 0.000 0.000
Mg1 0.000 0.000 0.500
Ag1 0.500 0.500 0.285
# total magnetization = 5.957 μB/f.u.
# calculated formation energy = -8.3 kJ per mole of atoms